Entry from Alexandria: TbCeY4 after structural relaxation (GGA-PBE).

Unit cell a=5.6845 b=5.6845 c=6.8754 alpha=90.00 beta=90.00 gamma=120.00
Space group P6/mmm (No. 191)
Unique sites:
Tb1 0.0000 0.0000 0.0000 [1 per cell]
Ce1 0.0000 0.0000 0.5000 [1 per cell]
Y1 0.3333 0.6667 0.2474 [4 per cell]

Output
Raw total energy = -5.972 eV/atom
E_form = 0.0983 eV per atom